w) InSnRh4 | PBE | relaxed

Cell lengths 11.0723, 3.0133, 6.0374 Å; angles 90.00, 105.81, 90.00 degrees
Space group C2/m (No. 12)
One atom of each set of equivalent atoms:
In 0.0000 0.0000 0.0000 (multiplicity 2)
Sn 0.0000 0.0000 0.5000 (multiplicity 2)
Rh 0.1636 0.5000 0.3377 (multiplicity 4)
Rh 0.1664 0.5000 0.8275 (multiplicity 4)



x) InSnRh4 | PBE | relaxed

Cell lengths 6.0799, 6.0799, 6.1419 Å; angles 90.00, 90.11, 90.00 degrees
Space group C2/m (No. 12)
One atom of each set of equivalent atoms:
In 0.0000 0.0000 0.0000 (multiplicity 2)
Sn 0.0000 0.5000 0.5000 (multiplicity 2)
Rh 0.2501 0.2504 0.2544 (multiplicity 8)



It is x) that is the least stable of them.



w) SrIn9Rh2 | PBE | relaxed

Cell lengths 12.3335, 12.3335, 7.4860 Å; angles 90.00, 90.00, 90.00 degrees
Space group I4_1/amd (No. 141, origin choice 2)
One atom of each set of equivalent atoms:
Sr 0.0000 0.2500 0.3750 (multiplicity 4)
In 0.0000 0.2500 0.8750 (multiplicity 4)
In 0.1206 0.0614 0.6793 (multiplicity 32)
Rh 0.0000 0.0000 0.0000 (multiplicity 8)



x) SrIn9Rh2 | PBE | relaxed

Cell lengths 8.9990, 8.9990, 4.2523 Å; angles 90.00, 90.00, 120.00 degrees
Space group P6/mmm (No. 191)
One atom of each set of equivalent atoms:
Sr 0.0000 0.0000 0.0000 (multiplicity 1)
In 0.0000 0.5000 0.0000 (multiplicity 3)
In 0.2049 0.4099 0.5000 (multiplicity 6)
Rh 0.3333 0.6667 0.0000 (multiplicity 2)



It is w) that is the least stable of them.



w) Tb6In2Rh | PBE | relaxed

Cell lengths 3.8147, 15.0722, 8.7086 Å; angles 90.00, 90.00, 90.00 degrees
Space group Amm2 (No. 38)
One atom of each set of equivalent atoms:
Tb 0.0000 0.0000 0.0000 (multiplicity 2)
Tb 0.0000 0.1213 0.6346 (multiplicity 4)
Tb 0.5000 0.0000 0.3607 (multiplicity 2)
Tb 0.5000 0.1974 0.9537 (multiplicity 4)
In 0.0000 0.1669 0.2562 (multiplicity 4)
Rh 0.5000 0.0000 0.7574 (multiplicity 2)



x) Tb6In2Rh | PBE | relaxed

Cell lengths 5.1357, 7.2683, 14.9045 Å; angles 90.00, 90.00, 90.00 degrees
Space group Immm (No. 71)
One atom of each set of equivalent atoms:
Tb 0.0000 0.2275 0.0000 (multiplicity 4)
Tb 0.0000 0.2594 0.3457 (multiplicity 8)
In 0.0000 0.5000 0.1678 (multiplicity 4)
Rh 0.0000 0.5000 0.5000 (multiplicity 2)



It is x) that is the least stable of them.



w) Tb3InRh | PBE | relaxed

Cell lengths 11.9218, 5.4967, 9.0903 Å; angles 90.00, 112.43, 90.00 degrees
Space group C2/m (No. 12)
One atom of each set of equivalent atoms:
Tb 0.1130 0.0000 0.2295 (multiplicity 4)
Tb 0.1132 0.5000 0.9042 (multiplicity 4)
Tb 0.1555 0.0000 0.6527 (multiplicity 4)
In 0.1080 0.5000 0.4534 (multiplicity 4)
Rh 0.1368 0.0000 0.9425 (multiplicity 4)



x) Tb3InRh | PBE | relaxed

Cell lengths 8.2836, 4.0732, 8.6814 Å; angles 90.00, 110.05, 90.00 degrees
Space group P2_1/m (No. 11)
One atom of each set of equivalent atoms:
Tb 0.0482 0.2500 0.2420 (multiplicity 2)
Tb 0.3190 0.7500 0.5835 (multiplicity 2)
Tb 0.3247 0.2500 0.9246 (multiplicity 2)
In 0.3502 0.7500 0.2192 (multiplicity 2)
Rh 0.0847 0.2500 0.6115 (multiplicity 2)



It is w) that is the least stable of them.



w) TbTmInRh | PBE | relaxed

Cell lengths 7.1765, 7.1765, 7.1765 Å; angles 90.00, 90.00, 90.00 degrees
Space group F-43m (No. 216)
One atom of each set of equivalent atoms:
Tb 0.0000 0.0000 0.0000 (multiplicity 4)
Tm 0.0000 0.0000 0.5000 (multiplicity 4)
In 0.2500 0.2500 0.7500 (multiplicity 4)
Rh 0.2500 0.2500 0.2500 (multiplicity 4)



x) TbTmInRh | PBE | relaxed

Cell lengths 3.5085, 3.5085, 7.5203 Å; angles 90.00, 90.00, 90.00 degrees
Space group P4mm (No. 99)
One atom of each set of equivalent atoms:
Tb 0.0000 0.0000 0.0000 (multiplicity 1)
Tm 0.0000 0.0000 0.5666 (multiplicity 1)
In 0.5000 0.5000 0.2889 (multiplicity 1)
Rh 0.5000 0.5000 0.7725 (multiplicity 1)



It is w) that is the least stable of them.



w) InTcRh | PBE | relaxed

Cell lengths 2.9770, 4.3819, 7.6284 Å; angles 90.00, 90.22, 90.00 degrees
Space group P2_1/m (No. 11)
One atom of each set of equivalent atoms:
In 0.2459 0.2500 0.1349 (multiplicity 2)
Tc 0.2403 0.7500 0.5289 (multiplicity 2)
Rh 0.2561 0.2500 0.7589 (multiplicity 2)



x) InTcRh | PBE | relaxed

Cell lengths 2.9053, 2.9053, 6.7449 Å; angles 90.00, 90.00, 120.00 degrees
Space group P3m1 (No. 156)
One atom of each set of equivalent atoms:
In 0.0000 0.0000 0.0000 (multiplicity 1)
Tc 0.3333 0.6667 0.6462 (multiplicity 1)
Rh 0.6667 0.3333 0.3454 (multiplicity 1)



It is x) that is the least stable of them.



w) InTcRh | PBE | relaxed

Cell lengths 4.6519, 14.2796, 2.9466 Å; angles 90.00, 90.93, 90.00 degrees
Space group Cm (No. 8)
One atom of each set of equivalent atoms:
In 0.0000 0.1714 0.0000 (multiplicity 4)
Tc 0.1626 0.0000 0.4634 (multiplicity 2)
Tc 0.1667 0.5000 0.0503 (multiplicity 2)
Rh 0.4964 0.1564 0.5118 (multiplicity 4)



x) InTcRh | PBE | relaxed

Cell lengths 9.3569, 2.9446, 7.8215 Å; angles 90.00, 113.51, 90.00 degrees
Space group C2/m (No. 12)
One atom of each set of equivalent atoms:
In 0.1698 0.0000 0.1136 (multiplicity 4)
Tc 0.1539 0.0000 0.5427 (multiplicity 4)
Rh 0.0126 0.5000 0.7464 (multiplicity 4)



y) InTcRh | PBE | relaxed

Cell lengths 2.9385, 4.6725, 7.3675 Å; angles 99.68, 100.55, 91.60 degrees
Space group P-1 (No. 2)
One atom of each set of equivalent atoms:
In 0.0869 0.3067 0.1617 (multiplicity 2)
Tc 0.1968 0.7541 0.4865 (multiplicity 2)
Rh 0.4176 0.1791 0.8147 (multiplicity 2)



z) InTcRh | PBE | relaxed

Cell lengths 6.0946, 6.0946, 6.0946 Å; angles 90.00, 90.00, 90.00 degrees
Space group F-43m (No. 216)
One atom of each set of equivalent atoms:
In 0.0000 0.0000 0.0000 (multiplicity 4)
Tc 0.0000 0.0000 0.5000 (multiplicity 4)
Rh 0.2500 0.2500 0.2500 (multiplicity 4)



It is z) that is the least stable of them.



w) InTcRh | PBE | relaxed

Cell lengths 4.6025, 2.9713, 7.2375 Å; angles 90.00, 98.01, 90.00 degrees
Space group P2 (No. 3)
One atom of each set of equivalent atoms:
In 0.2180 0.0000 0.3404 (multiplicity 2)
Tc 0.0000 0.4220 0.0000 (multiplicity 1)
Tc 0.5000 0.0395 0.0000 (multiplicity 1)
Rh 0.2850 0.5152 0.6823 (multiplicity 2)



x) InTcRh | PBE | relaxed

Cell lengths 2.8737, 3.8220, 8.9267 Å; angles 90.00, 90.00, 90.00 degrees
Space group Imm2 (No. 44)
One atom of each set of equivalent atoms:
In 0.0000 0.0000 0.0000 (multiplicity 2)
Tc 0.0000 0.0000 0.3193 (multiplicity 2)
Rh 0.0000 0.0000 0.6763 (multiplicity 2)



It is x) that is the least stable of them.



w) InTeRh2 | PBE | relaxed

Cell lengths 8.0528, 6.5040, 5.8883 Å; angles 90.00, 90.13, 90.00 degrees
Space group P2_1/c (No. 14)
One atom of each set of equivalent atoms:
In 0.1182 0.1083 0.2027 (multiplicity 4)
Te 0.3641 0.5790 0.3030 (multiplicity 4)
Rh 0.1410 0.6998 0.0077 (multiplicity 4)
Rh 0.3940 0.2049 0.4899 (multiplicity 4)



x) InTeRh2 | PBE | relaxed

Cell lengths 6.5924, 6.5924, 6.5924 Å; angles 90.00, 90.00, 90.00 degrees
Space group Fm-3m (No. 225)
One atom of each set of equivalent atoms:
In 0.0000 0.0000 0.0000 (multiplicity 4)
Te 0.0000 0.0000 0.5000 (multiplicity 4)
Rh 0.2500 0.2500 0.2500 (multiplicity 8)



y) InTeRh2 | PBE | relaxed

Cell lengths 6.0934, 6.0934, 11.2982 Å; angles 90.00, 90.00, 90.00 degrees
Space group I-42d (No. 122)
One atom of each set of equivalent atoms:
In 0.0000 0.0000 0.0000 (multiplicity 4)
Te 0.0000 0.0000 0.5000 (multiplicity 4)
Rh 0.2330 0.2500 0.6250 (multiplicity 8)



z) InTeRh2 | PBE | relaxed

Cell lengths 3.2833, 3.2833, 24.0330 Å; angles 90.00, 90.00, 120.00 degrees
Space group R3m (No. 160, hexagonal axes)
One atom of each set of equivalent atoms:
In 0.0000 0.0000 0.0000 (multiplicity 3)
Te 0.0000 0.0000 0.8332 (multiplicity 3)
Rh 0.0000 0.0000 0.2477 (multiplicity 3)
Rh 0.0000 0.0000 0.4188 (multiplicity 3)



It is y) that is the least stable of them.



w) TiIn3Rh | PBE | relaxed

Cell lengths 5.1896, 5.1896, 5.1896 Å; angles 90.00, 90.00, 90.00 degrees
Space group Pm-3m (No. 221)
One atom of each set of equivalent atoms:
Ti 0.0000 0.0000 0.0000 (multiplicity 1)
In 0.0000 0.0000 0.5000 (multiplicity 3)
Rh 0.5000 0.5000 0.5000 (multiplicity 1)



x) TiIn3Rh | PBE | relaxed

Cell lengths 5.0229, 5.0229, 5.0229 Å; angles 90.00, 90.00, 90.00 degrees
Space group Pm-3m (No. 221)
One atom of each set of equivalent atoms:
Ti 0.0000 0.0000 0.0000 (multiplicity 1)
In 0.0000 0.5000 0.5000 (multiplicity 3)
Rh 0.5000 0.5000 0.5000 (multiplicity 1)



It is w) that is the least stable of them.